a:
A geometry-optimized SrCd3Cl structure, computed with PBE.

The space group is Pm-3m (No. 221) and the conventional cell measures 5.651, 5.651 and 5.651 Å, with angles of 90.00, 90.00 and 90.00 degrees. The distinct sites, in fractional coordinates, are Sr at (0.000, 0.000, 0.000), Cd at (0.000, 0.500, 0.500) and Cl at (0.500, 0.500, 0.500).

The value obtained for the density of states at the Fermi level is 0.5029 states/eV per atom.

***

b:
A geometry-optimized SrCd3Cl structure, computed with PBE.

The space group is Pm-3m (No. 221) and the conventional cell measures 6.580, 6.580 and 6.580 Å, with angles of 90.00, 90.00 and 90.00 degrees. The distinct sites, in fractional coordinates, are Sr at (0.000, 0.000, 0.000), Cd at (0.000, 0.000, 0.500) and Cl at (0.500, 0.500, 0.500).

The value obtained for the density of states at the Fermi level is 0.4260 states/eV per atom.

***

The relative energies come out as a 0; b 219, with values in meV per atom.

***

a:
A geometry-optimized Sr2Cd2Cl structure, computed with PBE.

The space group is P4/mbm (No. 127) and the conventional cell measures 8.933, 8.933 and 4.298 Å, with angles of 90.00, 90.00 and 90.00 degrees. The distinct sites, in fractional coordinates, are Sr at (0.178, 0.322, 0.000), Cd at (0.117, 0.617, 0.500) and Cl at (0.000, 0.000, 0.500).

The value obtained for the density of states at the Fermi level is 0.7901 states/eV per atom.

***

b:
A geometry-optimized Sr2Cd2Cl structure, computed with PBE.

The space group is P4/mbm (No. 127) and the conventional cell measures 8.218, 8.218 and 5.271 Å, with angles of 90.00, 90.00 and 90.00 degrees. The distinct sites, in fractional coordinates, are Sr at (0.181, 0.319, 0.000), Cd at (0.122, 0.622, 0.500) and Cl at (0.000, 0.000, 0.000).

The value obtained for the density of states at the Fermi level is 1.0793 states/eV per atom.

***

c:
A geometry-optimized Sr2Cd2Cl structure, computed with PBE.

The space group is I4/mmm (No. 139) and the conventional cell measures 6.406, 6.406 and 9.270 Å, with angles of 90.00, 90.00 and 90.00 degrees. The distinct sites, in fractional coordinates, are Sr at (0.000, 0.500, 0.250), Cd at (0.000, 0.000, 0.148) and Cl at (0.000, 0.000, 0.500).

The value obtained for the density of states at the Fermi level is 1.0389 states/eV per atom.

***

The relative energies come out as a 180; b 0; c 346, with values in meV per atom.

***

a:
A geometry-optimized TaCdCl2 structure, computed with PBE.

The space group is Pm (No. 6) and the conventional cell measures 3.080, 4.701 and 6.772 Å, with angles of 90.00, 101.37 and 90.00 degrees. The distinct sites, in fractional coordinates, are Ta at (0.000, 0.000, 0.000), Cd at (0.606, 0.500, 0.246), Cl at (0.372, 0.000, 0.704) and Cl at (0.943, 0.500, 0.868).

The value obtained for the density of states at the Fermi level is 0.4396 states/eV per atom.

***

b:
A geometry-optimized TaCdCl2 structure, computed with PBE.

The space group is Immm (No. 71) and the conventional cell measures 2.987, 5.442 and 13.136 Å, with angles of 90.00, 90.00 and 90.00 degrees. The distinct sites, in fractional coordinates, are Ta at (0.000, 0.000, 0.000), Cd at (0.000, 0.000, 0.500) and Cl at (0.000, 0.500, 0.348).

The value obtained for the density of states at the Fermi level is 0.5478 states/eV per atom.

***

c:
A geometry-optimized TaCdCl2 structure, computed with PBE.

The space group is P4/mmm (No. 123) and the conventional cell measures 5.159, 5.159 and 3.094 Å, with angles of 90.00, 90.00 and 90.00 degrees. The distinct sites, in fractional coordinates, are Ta at (0.000, 0.000, 0.000), Cd at (0.500, 0.500, 0.000) and Cl at (0.000, 0.500, 0.500).

The value obtained for the density of states at the Fermi level is 0.8861 states/eV per atom.

***

d:
A geometry-optimized TaCdCl2 structure, computed with PBE.

The space group is Imm2 (No. 44) and the conventional cell measures 3.052, 4.593 and 13.941 Å, with angles of 90.00, 90.00 and 90.00 degrees. The distinct sites, in fractional coordinates, are Ta at (0.000, 0.000, 0.000), Cd at (0.000, 0.500, 0.682), Cl at (0.000, 0.000, 0.518) and Cl at (0.000, 0.500, 0.356).

The value obtained for the density of states at the Fermi level is 0.5085 states/eV per atom.

***

The relative energies come out as a 215; b 0; c 963; d 329, with values in meV per atom.

***

a:
A geometry-optimized TaCdCl2 structure, computed with PBE.

The space group is P4mm (No. 99) and the conventional cell measures 3.148, 3.148 and 8.428 Å, with angles of 90.00, 90.00 and 90.00 degrees. The distinct sites, in fractional coordinates, are Ta at (0.000, 0.000, 0.000), Cd at (0.500, 0.500, 0.256), Cl at (0.000, 0.000, 0.461) and Cl at (0.500, 0.500, 0.826).

The value obtained for the density of states at the Fermi level is 0.3406 states/eV per atom.

***

b:
A geometry-optimized TaCdCl2 structure, computed with PBE.

The space group is C2/m (No. 12) and the conventional cell measures 6.117, 9.179 and 3.058 Å, with angles of 90.00, 112.95 and 90.00 degrees. The distinct sites, in fractional coordinates, are Ta at (0.000, 0.000, 0.000), Cd at (0.000, 0.500, 0.000) and Cl at (0.250, 0.250, 0.000).

The value obtained for the density of states at the Fermi level is 0.6112 states/eV per atom.

***

The relative energies come out as a 0; b 370, with values in meV per atom.

***

a:
A geometry-optimized TaCdCl2 structure, computed with PBE.

The space group is P4/mmm (No. 123) and the conventional cell measures 3.057, 3.057 and 9.871 Å, with angles of 90.00, 90.00 and 90.00 degrees. The distinct sites, in fractional coordinates, are Ta at (0.000, 0.000, 0.000), Cd at (0.000, 0.000, 0.500) and Cl at (0.500, 0.500, 0.155).

The value obtained for the density of states at the Fermi level is 0.6096 states/eV per atom.

***

b:
A geometry-optimized TaCdCl2 structure, computed with PBE.

The space group is R-3m (No. 166, hexagonal axes) and the conventional cell measures 3.1269, 3.1269 and 31.7538 Å, with angles of 90.00, 90.00 and 120.00 degrees. The distinct sites, in fractional coordinates, are Ta at (0.0000, 0.0000, 0.0000), Cd at (0.0000, 0.0000, 0.5000) and Cl at (0.0000, 0.0000, 0.2764).

The value obtained for the density of states at the Fermi level is 0.5555 states/eV per atom.

***

The relative energies come out as a 353; b 0, with values in meV per atom.

***

a:
A geometry-optimized TaCdCl2 structure, computed with PBE.

The space group is Cm (No. 8) and the conventional cell measures 11.269, 3.047 and 7.050 Å, with angles of 90.00, 114.93 and 90.00 degrees. The distinct sites, in fractional coordinates, are Ta at (0.000, 0.000, 0.000), Cd at (0.263, 0.000, 0.000), Cl at (0.096, 0.500, 0.305) and Cl at (0.435, 0.000, 0.695).

The value obtained for the density of states at the Fermi level is 0.4286 states/eV per atom.

***

b:
A geometry-optimized TaCdCl2 structure, computed with PBE.

The space group is Fm-3m (No. 225) and the conventional cell measures 6.699, 6.699 and 6.699 Å, with angles of 90.00, 90.00 and 90.00 degrees. The distinct sites, in fractional coordinates, are Ta at (0.000, 0.000, 0.000), Cd at (0.000, 0.000, 0.500) and Cl at (0.250, 0.250, 0.250).

The value obtained for the density of states at the Fermi level is 0.6511 states/eV per atom.

***

c:
A geometry-optimized TaCdCl2 structure, computed with PBE.

The space group is Cmmm (No. 65) and the conventional cell measures 2.973, 5.932 and 10.849 Å, with angles of 90.00, 90.00 and 90.00 degrees. The distinct sites, in fractional coordinates, are Ta at (0.000, 0.000, 0.000), Cd at (0.000, 0.000, 0.500) and Cl at (0.000, 0.500, 0.185).

The value obtained for the density of states at the Fermi level is 0.4040 states/eV per atom.

***

The relative energies come out as a 0; b 935; c 19, with values in meV per atom.

***

a:
A geometry-optimized TaCdCl structure, computed with PBE.

The space group is P1 (No. 1) and the conventional cell measures 3.047, 5.964 and 8.693 Å, with angles of 72.03, 80.38 and 75.39 degrees. The distinct sites, in fractional coordinates, are Ta at (0.000, 0.000, 0.000), Ta at (0.474, 0.300, 0.744), Cd at (0.250, 0.446, 0.060), Cd at (0.732, 0.749, 0.780), Cl at (0.079, 0.313, 0.512) and Cl at (0.429, 0.908, 0.244).

The value obtained for the density of states at the Fermi level is 0.3820 states/eV per atom.

***

b:
A geometry-optimized TaCdCl structure, computed with PBE.

The space group is P2_1/m (No. 11) and the conventional cell measures 5.361, 3.046 and 9.174 Å, with angles of 90.00, 106.43 and 90.00 degrees. The distinct sites, in fractional coordinates, are Ta at (0.009, 0.250, 0.130), Cd at (0.477, 0.250, 0.856) and Cl at (0.180, 0.750, 0.357).

The value obtained for the density of states at the Fermi level is 0.2579 states/eV per atom.

***

The relative energies come out as a 31; b 0, with values in meV per atom.

***

a:
A geometry-optimized TaCdCl structure, computed with PBE.

The space group is Cm (No. 8) and the conventional cell measures 5.375, 3.096 and 8.422 Å, with angles of 90.00, 104.18 and 90.00 degrees. The distinct sites, in fractional coordinates, are Ta at (0.000, 0.000, 0.000), Cd at (0.448, 0.000, 0.300) and Cl at (0.085, 0.500, 0.787).

The value obtained for the density of states at the Fermi level is 0.4007 states/eV per atom.

***

b:
A geometry-optimized TaCdCl structure, computed with PBE.

The space group is Fmm2 (No. 42) and the conventional cell measures 3.305, 4.978 and 16.876 Å, with angles of 90.00, 90.00 and 90.00 degrees. The distinct sites, in fractional coordinates, are Ta at (0.000, 0.000, 0.000), Cd at (0.000, 0.000, 0.647) and Cl at (0.000, 0.000, 0.388).

The value obtained for the density of states at the Fermi level is 0.7081 states/eV per atom.

***

The relative energies come out as a 0; b 238, with values in meV per atom.

***

a:
A geometry-optimized TaCdCl structure, computed with PBE.

The space group is P-6m2 (No. 187) and the conventional cell measures 4.6682, 4.6682 and 3.0090 Å, with angles of 90.00, 90.00 and 120.00 degrees. The distinct sites, in fractional coordinates, are Ta at (0.0000, 0.0000, 0.0000), Cd at (0.6667, 0.3333, 0.5000) and Cl at (0.3333, 0.6667, 0.0000).

The value obtained for the density of states at the Fermi level is 0.5043 states/eV per atom.

***

b:
A geometry-optimized TaCdCl structure, computed with PBE.

The space group is F-43m (No. 216) and the conventional cell measures 6.492, 6.492 and 6.492 Å, with angles of 90.00, 90.00 and 90.00 degrees. The distinct sites, in fractional coordinates, are Ta at (0.000, 0.000, 0.000), Cd at (0.250, 0.250, 0.750) and Cl at (0.250, 0.250, 0.250).

The value obtained for the density of states at the Fermi level is 1.2858 states/eV per atom.

***

c:
A geometry-optimized TaCdCl structure, computed with PBE.

The space group is I4mm (No. 107) and the conventional cell measures 3.009, 3.009 and 15.038 Å, with angles of 90.00, 90.00 and 90.00 degrees. The distinct sites, in fractional coordinates, are Ta at (0.000, 0.000, 0.000), Cd at (0.000, 0.000, 0.362) and Cl at (0.000, 0.000, 0.611).

The value obtained for the density of states at the Fermi level is 0.4546 states/eV per atom.

***

The relative energies come out as a 358; b 1018; c 0, with values in meV per atom.

***

a:
A geometry-optimized Ta3CdCl structure, computed with PBE.

The space group is Pm-3m (No. 221) and the conventional cell measures 5.059, 5.059 and 5.059 Å, with angles of 90.00, 90.00 and 90.00 degrees. The distinct sites, in fractional coordinates, are Ta at (0.000, 0.000, 0.500), Cd at (0.000, 0.000, 0.000) and Cl at (0.500, 0.500, 0.500).

The value obtained for the density of states at the Fermi level is 1.8194 states/eV per atom.

***

b:
A geometry-optimized Ta3CdCl structure, computed with PBE.

The space group is Pm-3m (No. 221) and the conventional cell measures 4.569, 4.569 and 4.569 Å, with angles of 90.00, 90.00 and 90.00 degrees. The distinct sites, in fractional coordinates, are Ta at (0.000, 0.000, 0.500), Cd at (0.500, 0.500, 0.500) and Cl at (0.000, 0.000, 0.000).

The value obtained for the density of states at the Fermi level is 1.2054 states/eV per atom.

***

The relative energies come out as a 1520; b 0, with values in meV per atom.

***

a:
A geometry-optimized CdTcCl3 structure, computed with PBE.

The space group is Pm-3m (No. 221) and the conventional cell measures 5.182, 5.182 and 5.182 Å, with angles of 90.00, 90.00 and 90.00 degrees. The distinct sites, in fractional coordinates, are Cd at (0.000, 0.000, 0.000), Tc at (0.500, 0.500, 0.500) and Cl at (0.000, 0.000, 0.500).

The value obtained for the density of states at the Fermi level is 1.8645 states/eV per atom.

***

b:
A geometry-optimized CdTcCl3 structure, computed with PBE.

The space group is Pm-3m (No. 221) and the conventional cell measures 4.960, 4.960 and 4.960 Å, with angles of 90.00, 90.00 and 90.00 degrees. The distinct sites, in fractional coordinates, are Cd at (0.000, 0.000, 0.000), Tc at (0.500, 0.500, 0.500) and Cl at (0.000, 0.500, 0.500).

The value obtained for the density of states at the Fermi level is 0.4897 states/eV per atom.

***

The relative energies come out as a 405; b 0, with values in meV per atom.

***

a:
A geometry-optimized CdTe2Cl structure, computed with PBE.

The space group is Pm (No. 6) and the conventional cell measures 3.962, 3.799 and 9.056 Å, with angles of 90.00, 98.06 and 90.00 degrees. The distinct sites, in fractional coordinates, are Cd at (0.000, 0.000, 0.000), Te at (0.472, 0.000, 0.552), Te at (0.553, 0.500, 0.794) and Cl at (0.258, 0.500, 0.177).

The value obtained for the density of states at the Fermi level is 0.2778 states/eV per atom.

***

b:
A geometry-optimized CdTe2Cl structure, computed with PBE.

The space group is Cm (No. 8) and the conventional cell measures 11.558, 3.540 and 6.241 Å, with angles of 90.00, 99.95 and 90.00 degrees. The distinct sites, in fractional coordinates, are Cd at (0.000, 0.000, 0.000), Te at (0.146, 0.500, 0.340), Te at (0.470, 0.000, 0.587) and Cl at (0.321, 0.000, 0.983).

The value obtained for the density of states at the Fermi level is 0.1632 states/eV per atom.

***

The relative energies come out as a 95; b 0, with values in meV per atom.